1.
Computed, not measured: a geometry-optimized Sm7Y3Ho structure at the PBE-GGA level of DFT.

```
Sm7Y3Ho
1.0
7.0962 0.0000 0.0000
0.0000 5.6269 0.0000
-3.4866 0.0000 9.3552
Sm Y Ho
7 3 1
Cartesian
0.0000 0.0000 0.0000
0.0218 2.8134 2.7462
0.0486 2.8134 5.9897
0.0645 0.0000 7.7571
3.5451 0.0000 1.5981
3.5610 2.8134 3.3655
3.5878 2.8134 6.6090
-1.7433 0.0000 4.6776
-1.5085 2.8134 9.3442
5.1181 2.8134 0.0110
1.8048 0.0000 4.6776
```

Total magnetization ... 0.0000 μB per atom
Energy of formation ... 137.0 kJ/mol of formula units
Crystal system ... monoclinic
E above lowest polymorph ... 0 meV per atom
Calculated total energy ... -55.584 eV per formula unit


2.
Computed, not measured: a geometry-optimized Pm8As4PS3 structure at the PBE-GGA level of DFT.

```
Pm8As4PS3
1.0
4.1592 2.4013 6.7680
-4.1592 2.4013 6.7680
0.0000 -4.8026 6.7680
Pm As P S
8 4 1 3
Cartesian
0.0000 0.0000 5.0714
-2.0607 -1.1897 11.8201
0.0000 -2.3794 8.4838
-2.0607 1.1897 8.4838
2.0606 -1.1897 11.8201
0.0000 2.3794 11.8201
2.0606 1.1897 8.4838
0.0000 0.0000 15.2325
0.0000 0.0000 0.0000
-2.0796 -1.2006 6.7680
-2.0796 1.2006 13.5359
0.0000 2.4013 6.7680
0.0000 0.0000 10.1520
-4.1592 0.0000 10.1519
-2.0796 1.2006 3.3840
2.0796 1.2006 3.3840
```

Total magnetization ... 0.0000 μB per atom
Crystal system ... trigonal
Calculated total energy ... -102.541 eV per formula unit
Raw formation energy ... -2716 kJ/mol of formula units


3.
Computed, not measured: a geometry-optimized Sr2Si7Rh12 structure at the PBE-GGA level of DFT.

```
Sr2Si7Rh12
1.0
9.7768 0.0000 0.0000
-4.8884 8.4669 0.0000
0.0000 0.0000 3.9072
Sr Si Rh
2 7 12
Cartesian
0.0000 0.0000 0.0000
0.0000 5.6446 1.9536
-1.5351 3.7286 0.0000
1.5428 1.9695 1.9536
-0.8918 7.9320 0.0000
2.4268 5.2732 0.0000
4.8884 2.8223 0.0000
7.2998 0.3514 1.9536
5.8226 6.1461 1.9536
-0.8688 2.3712 1.9536
-2.4284 5.9933 0.0000
-2.4004 8.0337 1.9536
0.9122 3.3672 0.0000
2.9500 1.5484 0.0000
3.1979 3.6785 1.9536
4.9922 0.9302 1.9536
1.5162 7.5733 0.0000
3.2692 6.5289 1.9536
4.7543 5.1379 0.0000
6.9608 1.7806 0.0000
6.4751 3.8582 1.9536
```

Total magnetization ... 0.0000 μB per atom
Crystal system ... hexagonal
Calculated total energy ... -147.053 eV per formula unit
Raw formation energy ... -1690 kJ/mol of formula units


4.
Computed, not measured: a geometry-optimized Te2As structure at the PBE-GGA level of DFT.

```
Te2As
1.0
0.0000 3.5529 3.5529
3.5529 0.0000 3.5529
3.5529 3.5529 0.0000
Te As
2 1
Cartesian
1.7765 1.7765 1.7765
5.3294 5.3294 5.3294
0.0000 0.0000 0.0000
```

Total magnetization ... 0.0000 μB per atom
Crystal system ... cubic
E above lowest polymorph ... 311 meV per atom
Calculated total energy ... -9.881 eV per formula unit
Raw formation energy ... 101 kJ/mol of formula units


5.
Computed, not measured: a geometry-optimized TlAg5F6 structure at the PBE-GGA level of DFT.

```
TlAg5F6
1.0
3.1252 -5.3466 0.0000
3.1252 5.3466 0.0000
-2.0287 0.0000 5.9516
Tl Ag F
1 5 6
Cartesian
0.0000 0.0000 0.0000
2.1108 3.6377 2.9758
3.1252 1.8240 0.0000
2.1108 0.0000 2.9758
3.1252 -1.8240 0.0000
2.1108 -3.6377 2.9758
1.1285 1.8875 1.5443
0.1739 0.0000 4.4268
1.1285 -1.8875 1.5443
3.0931 1.8875 4.4073
4.0478 0.0000 1.5248
3.0931 -1.8875 4.4073
```

Total magnetization ... 0.0000 μB per atom
Crystal system ... monoclinic
Calculated total energy ... -41.048 eV per formula unit
Raw formation energy ... -1273 kJ/mol of formula units


6.
Computed, not measured: a geometry-optimized MgTcIr structure at the PBE-GGA level of DFT.

```
MgTcIr
1.0
2.8017 0.0000 0.0000
0.0000 7.0387 0.0000
-0.0858 0.0000 4.8311
Mg Tc Ir
2 2 2
Cartesian
0.0000 0.0000 0.0000
-0.0429 1.8074 2.4156
0.0462 4.4136 3.5537
2.6697 4.4136 1.2774
1.4008 2.4314 0.0000
1.3579 6.4880 2.4156
```

Total magnetization ... 0.0000 μB per atom
Energy of formation ... -22.8 kJ/mol of formula units
Crystal system ... monoclinic
E above lowest polymorph ... 117 meV per atom
Calculated total energy ... -21.058 eV per formula unit


7.
Computed, not measured: a geometry-optimized LaCoCu2 structure at the PBE-GGA level of DFT.

```
LaCoCu2
1.0
-1.9131 1.9131 4.4963
1.9131 -1.9131 4.4963
1.9131 1.9131 -4.4963
La Co Cu
1 1 2
Cartesian
0.0000 0.0000 0.0000
0.0000 0.0000 4.4963
1.9131 0.0000 2.2482
0.0000 1.9131 2.2482
```

Total magnetization ... 0.0000 μB per atom
Energy of formation ... 35.6 kJ/mol of formula units
Crystal system ... tetragonal
Calculated total energy ... -19.857 eV per formula unit


8.
Computed, not measured: a geometry-optimized Pm2PaSn structure at the PBE-GGA level of DFT.

```
Pm2PaSn
1.0
0.0000 3.8373 3.8373
3.8373 0.0000 3.8373
3.8373 3.8373 0.0000
Pm Pa Sn
2 1 1
Cartesian
1.9186 1.9186 1.9186
5.7559 5.7559 5.7559
0.0000 0.0000 0.0000
3.8373 3.8373 3.8373
```

Total magnetization ... 0.3155 μB per atom
Energy of formation ... 7.2 kJ/mol of formula units
Crystal system ... cubic
E above lowest polymorph ... 221 meV per atom
Calculated total energy ... -22.926 eV per formula unit